1.
A plane-wave DFT calculation with meta-GGA SCAN was carried out for a PBEsol-optimized structure of BaTaMn2.

a = 4.7747 Å, b = 4.7747 Å, c = 4.7747 Å
α = 60.00°, β = 60.00°, γ = 60.00°
Last column: nearest neighbours and their distance in Å.
Fractional positions:
Ba 0.0000 0.0000 0.0000  4 Mn 2.92, 4 Ta 2.92
Ta 0.2500 0.2500 0.2500  4 Ba 2.92, 4 Mn 2.92
Mn 0.5000 0.5000 0.5000  4 Ta 2.92, 4 Mn 2.92
Mn 0.7500 0.7500 0.7500  4 Ba 2.92, 4 Mn 2.92

**Total energy**: -34.729 eV per atom
**Space group**: F-43m (216)
**E_form**: 3.7 eV per formula unit
**Distance to the lowest polymorph of the same formula**: 104 meV per atom
**DOS(E_F)**: 2.4 states/eV/cell

***

2.
A plane-wave DFT calculation with meta-GGA SCAN was carried out for a PBEsol-optimized structure of LiTa2Ag.

a = 2.7197 Å, b = 2.7197 Å, c = 8.9540 Å
α = 90.00°, β = 90.00°, γ = 90.00°
Last column: nearest neighbours and their distance in Å.
Fractional positions:
Li 0.0000 0.0000 0.0000  4 Li 2.72, 8 Ta 2.93
Ta 0.5000 0.5000 0.2472  4 Ta 2.72, 4 Li 2.93, 4 Ag 2.97
Ta 0.5000 0.5000 0.7528  4 Ta 2.72, 4 Li 2.93, 4 Ag 2.97
Ag 0.0000 0.0000 0.5000  4 Ag 2.72, 8 Ta 2.97

**Total energy**: -41.208 eV per atom
**Space group**: P4/mmm (123)
**E_form**: 2.1 eV per formula unit
**Distance to the lowest polymorph of the same formula**: 191 meV per atom
**DOS(E_F)**: 4.2 states/eV/cell

***

3.
A plane-wave DFT calculation with meta-GGA SCAN was carried out for a PBEsol-optimized structure of ZnCuRh2.

a = 4.4711 Å, b = 4.4711 Å, c = 4.6210 Å
α = 100.21°, β = 100.21°, γ = 34.92°
Last column: nearest neighbours and their distance in Å.
Fractional positions:
Zn 0.0000 0.0000 0.0000  6 Rh 2.60-2.62, 4 Cu 2.67, 2 Zn 2.68
Cu 0.5000 0.5000 0.5000  6 Rh 2.60, 4 Zn 2.67, 2 Cu 2.68
Rh 0.2507 0.2507 0.7480  3 Cu 2.60, 3 Zn 2.60-2.62, 6 Rh 2.65-2.69
Rh 0.7493 0.7493 0.2520  3 Cu 2.60, 3 Zn 2.60-2.62, 6 Rh 2.65-2.69

**Total energy**: -24.190 eV per atom
**Space group**: C2/m (12)
**E_form**: -0.5 eV per formula unit
**DOS(E_F)**: 3.9 states/eV/cell

***

4.
A plane-wave DFT calculation with meta-GGA SCAN was carried out for a PBEsol-optimized structure of InIr.

a = 3.0094 Å, b = 4.8414 Å, c = 4.6354 Å
α = 90.00°, β = 90.00°, γ = 90.00°
Last column: nearest neighbours and their distance in Å.
Fractional positions:
In 0.2500 0.2500 0.1070  6 Ir 2.73-2.80, 6 In 3.01-3.02
In 0.7500 0.7500 0.8930  6 Ir 2.73-2.80, 6 In 3.01-3.02
Ir 0.2500 0.7500 0.4015  6 In 2.73-2.80, 6 Ir 2.99-3.01
Ir 0.7500 0.2500 0.5985  6 In 2.73-2.80, 6 Ir 2.99-3.01

**Total energy**: -52.097 eV per atom
**Space group**: Pmmn (59)
**E_form**: 0.3 eV per formula unit
**DOS(E_F)**: 2.7 states/eV/cell